## K2BaTa (SCAN)

Data for a PBEsol-optimized structure of K2BaTa.

Calculated values
raw total energy: -118.513 eV/f.u.
spin magnetization: 0.02 μB per formula unit
formation enthalpy at 0 K: 1.070 eV per atom

Cell: 3.4346 3.4346 13.0789 Å, 90.00 90.00 90.00°
Positions (direct):
Ba 0.5000 0.5000 0.6951
K 0.0000 0.0000 0.9872
K 0.5000 0.5000 0.3013
Ta 0.0000 0.0000 0.5164